Compound: SbOs2W
Source: Alexandria
Functional: PBE
Structure: optimized geometry

Geometry as extended XYZ:
```
4
Lattice="-1.117 2.773 0.117 -3.404 -1.293 -1.855 -2.208 -1.092 4.813" Properties=species:S:1:pos:R:3 pbc="T T T"
Os -2.137 -1.057 4.658
Os -2.873 0.437 0.465
W -3.986 -0.114 2.891
Sb -1.046 -0.517 2.280
```

## Properties
Size of the total moment   0.00 μB per cell
Symmetry   No. 25
E_tot   -37.3 eV per cell
Calculated volume   16.53 A^3/atom